# LiNbSO

A relaxed LiNbSO crystal (PBE-GGA, OQMD).

```
LiNbSO
1.0
3.217 0.000 0.000
0.000 6.067 0.000
0.000 0.000 6.061
Li Nb S O
2 2 2 2
Cartesian
0.000 0.690 0.000
0.000 5.377 3.031
1.608 2.965 1.964
1.608 3.103 4.994
0.000 1.714 3.520
0.000 4.353 0.489
1.608 1.621 0.399
1.608 4.446 3.430
```

Total DFT energy (no corrections) ... -6.8157 eV per atom
Distance to the lowest polymorph of the same formula ... 0.126 eV/atom
Mass density ... 4152 kg/m3
SG ... No. 26

***

# K2Au2O5

A relaxed K2Au2O5 crystal (PBE-GGA, OQMD).

```
K2Au2O5
1.0
3.951 0.000 0.000
0.000 3.951 0.000
0.000 0.000 9.006
K Au O
2 2 5
Cartesian
0.000 0.000 0.000
0.000 0.000 4.503
1.975 1.975 2.128
1.975 1.975 6.878
0.000 1.975 2.589
0.000 1.975 6.417
1.975 0.000 2.589
1.975 0.000 6.417
1.975 1.975 0.000
```

Total DFT energy (no corrections) ... -4.0736 eV per atom
Distance to the lowest polymorph of the same formula ... 0.000 eV/atom
Mass density ... 6523 kg/m3
SG ... No. 123

***

# ErMgGa

A relaxed ErMgGa crystal (PBE-GGA, OQMD).

```
ErMgGa
1.0
0.000 3.433 3.433
3.433 0.000 3.433
3.433 3.433 0.000
Er Mg Ga
1 1 1
Cartesian
0.000 0.000 0.000
1.716 1.716 1.716
5.149 5.149 5.149
```

Total DFT energy (no corrections) ... -2.8137 eV per atom
Mass density ... 5363 kg/m3
SG ... No. 216

***

# RbErSO

A relaxed RbErSO crystal (PBE-GGA, OQMD).

```
RbErSO
1.0
1.852 1.069 7.181
-1.852 1.069 7.181
0.000 -2.138 7.181
Rb Er S O
1 1 1 1
Cartesian
0.000 0.000 0.000
0.000 0.000 11.118
0.000 0.000 16.663
0.000 0.000 4.905
```

Total DFT energy (no corrections) ... -5.8459 eV per atom
Distance to the lowest polymorph of the same formula ... 0.095 eV/atom
Mass density ... 5857 kg/m3
SG ... No. 160

***

# NaTcTe3Au

A relaxed NaTcTe3Au crystal (PBE-GGA, OQMD).

```
NaTcTe3Au
1.0
1.959 -7.353 0.000
1.959 7.353 0.000
0.000 0.000 10.812
Na Tc Te Au
2 2 6 2
Cartesian
1.959 3.900 8.109
1.959 -3.900 2.703
0.000 0.000 0.000
0.000 0.000 5.406
1.959 6.294 2.703
1.959 1.944 0.193
1.959 1.944 5.213
1.959 -1.944 5.599
1.959 -1.944 10.618
1.959 -6.294 8.109
1.959 1.021 2.703
1.959 -1.021 8.109
```

Total DFT energy (no corrections) ... -4.1858 eV per atom
Mass density ... 7471 kg/m3
SG ... No. 63

***

# TaBeAsO

A relaxed TaBeAsO crystal (PBE-GGA, OQMD).

```
TaBeAsO
1.0
2.960 0.000 0.000
0.000 6.306 0.000
0.000 0.000 5.748
Ta Be As O
2 2 2 2
Cartesian
0.000 0.002 0.000
0.000 6.304 2.874
1.480 2.291 1.611
1.480 4.015 4.485
1.480 1.738 4.324
1.480 4.568 1.450
0.000 1.709 1.441
0.000 4.597 4.315
```

Total DFT energy (no corrections) ... -7.3793 eV per atom
Distance to the lowest polymorph of the same formula ... 0.000 eV/atom
Mass density ... 8696 kg/m3
SG ... No. 26

***

# GdAlNiPt

A relaxed GdAlNiPt crystal (PBE-GGA, OQMD).

```
GdAlNiPt
1.0
4.268 0.000 0.000
-2.134 3.696 0.000
0.000 0.000 9.247
Gd Al Ni Pt
2 2 2 2
Cartesian
0.000 0.000 0.000
0.000 2.464 4.624
2.134 1.232 2.358
2.134 1.232 6.890
0.000 0.000 2.974
0.000 0.000 6.273
0.000 2.464 1.699
0.000 2.464 7.548
```

Total DFT energy (no corrections) ... -5.8853 eV per atom
Distance to the lowest polymorph of the same formula ... 0.002 eV/atom
Mass density ... 9972 kg/m3
SG ... No. 187

***

# InAgWSe2S

A relaxed InAgWSe2S crystal (PBE-GGA, OQMD).

```
InAgWSe2S
1.0
1.720 -8.567 0.000
1.720 8.567 0.000
0.000 0.000 9.430
In Ag W Se S
2 2 2 4 2
Cartesian
1.720 5.827 7.072
1.720 -5.827 2.357
1.720 4.968 2.357
1.720 -4.968 7.072
1.720 0.000 0.000
1.720 0.000 4.715
1.720 6.708 0.368
1.720 6.708 4.347
1.720 -6.708 5.083
1.720 -6.708 9.062
1.720 0.581 2.357
1.720 -0.581 7.072
```

Total DFT energy (no corrections) ... -5.1267 eV per atom
Mass density ... 7127 kg/m3
SG ... No. 63

***

# KBaAu

A relaxed KBaAu crystal (PBE-GGA, OQMD).

```
KBaAu
1.0
0.000 3.998 3.998
3.998 0.000 3.998
3.998 3.998 0.000
K Ba Au
1 1 1
Cartesian
0.000 0.000 0.000
3.998 3.998 3.998
5.997 5.997 5.997
```

Total DFT energy (no corrections) ... -2.4579 eV per atom
Distance to the lowest polymorph of the same formula ... 0.000 eV/atom
Mass density ... 4852 kg/m3
SG ... No. 216

***

# Na2PtPb4Au

A relaxed Na2PtPb4Au crystal (PBE-GGA, OQMD).

```
Na2PtPb4Au
1.0
4.514 0.000 0.000
0.000 8.349 0.000
-2.212 0.000 5.658
Na Pt Pb Au
2 1 4 1
Cartesian
0.000 0.000 0.000
0.021 4.174 1.503
2.285 4.174 3.999
0.032 2.537 4.803
0.032 5.812 4.803
2.292 1.758 2.363
2.292 6.591 2.363
0.039 0.000 3.157
```

Total DFT energy (no corrections) ... -3.5985 eV per atom
Mass density ... 9865 kg/m3
SG ... No. 6

***

# Hf2GaSb3

A relaxed Hf2GaSb3 crystal (PBE-GGA, OQMD).

```
Hf2GaSb3
1.0
3.933 0.000 0.000
0.000 3.933 0.000
0.000 0.000 8.683
Hf Ga Sb
2 1 3
Cartesian
0.000 1.966 2.077
1.966 0.000 6.606
0.000 0.000 4.341
0.000 1.966 7.678
1.966 0.000 1.005
1.966 1.966 4.341
```

Total DFT energy (no corrections) ... -6.3360 eV per atom
Mass density ... 9794 kg/m3
SG ... No. 115

***

# LiErGe

A relaxed LiErGe crystal (PBE-GGA, OQMD).

```
LiErGe
1.0
6.966 0.000 0.000
-3.483 6.033 0.000
0.000 0.000 4.249
Li Er Ge
3 3 3
Cartesian
-0.805 1.395 0.000
1.611 0.000 0.000
2.678 4.638 0.000
-1.990 3.446 2.125
1.493 2.587 2.125
3.979 0.000 2.125
0.000 0.000 2.125
0.000 4.022 0.000
3.483 2.011 0.000
```

Total DFT energy (no corrections) ... -4.4109 eV per atom
Distance to the lowest polymorph of the same formula ... 0.000 eV/atom
Mass density ... 6886 kg/m3
SG ... No. 189

***

Repeat the second record exactly.
# K2Au2O5

A relaxed K2Au2O5 crystal (PBE-GGA, OQMD).

```
K2Au2O5
1.0
3.951 0.000 0.000
0.000 3.951 0.000
0.000 0.000 9.006
K Au O
2 2 5
Cartesian
0.000 0.000 0.000
0.000 0.000 4.503
1.975 1.975 2.128
1.975 1.975 6.878
0.000 1.975 2.589
0.000 1.975 6.417
1.975 0.000 2.589
1.975 0.000 6.417
1.975 1.975 0.000
```

Total DFT energy (no corrections) ... -4.0736 eV per atom
Distance to the lowest polymorph of the same formula ... 0.000 eV/atom
Mass density ... 6523 kg/m3
SG ... No. 123

***

Please write out number 10 again, unchanged.
# Na2PtPb4Au

A relaxed Na2PtPb4Au crystal (PBE-GGA, OQMD).

```
Na2PtPb4Au
1.0
4.514 0.000 0.000
0.000 8.349 0.000
-2.212 0.000 5.658
Na Pt Pb Au
2 1 4 1
Cartesian
0.000 0.000 0.000
0.021 4.174 1.503
2.285 4.174 3.999
0.032 2.537 4.803
0.032 5.812 4.803
2.292 1.758 2.363
2.292 6.591 2.363
0.039 0.000 3.157
```

Total DFT energy (no corrections) ... -3.5985 eV per atom
Mass density ... 9865 kg/m3
SG ... No. 6